[1]
A plane-wave DFT calculation with GGA-PBEsol was carried out for a relaxed structure of Y2Mg.

Values from the calculation:
density: 3.888 g/cm3
density of states at the Fermi level: 1.4457 states/eV per atom
DFT formation energy: 24 meV per atom
E: -5.10 eV/atom

```
3
Lattice="-1.047 -1.291 -3.053 -0.818 -1.641 2.953 -6.953 4.406 0.522" Properties=species:S:1:pos:R:3 pbc="T T T"
Y -3.171 -0.082 1.122
Y -5.647 1.556 -0.700
Mg 0.000 0.000 0.000
```

---

[2]
A plane-wave DFT calculation with GGA-PBEsol was carried out for a relaxed structure of Mg18Al11.

Values from the calculation:
density: 2.103 g/cm3
density of states at the Fermi level: 0.3917 states/eV per atom
DFT formation energy: -9 meV per atom
E: -2.63 eV/atom

```
29
Lattice="9.088 0.071 -0.003 -3.074 8.553 -0.003 -2.996 -4.296 7.440" Properties=species:S:1:pos:R:3 pbc="T T T"
Al 2.766 1.611 0.006
Al -1.681 2.340 1.380
Al 3.628 2.782 4.668
Al 2.777 -0.769 1.380
Mg -1.088 2.581 4.448
Mg 5.951 0.061 0.013
Mg 0.003 0.005 0.012
Mg 1.946 6.881 2.961
Al 1.356 4.366 4.668
Al -3.291 3.491 6.055
Mg 1.041 1.493 2.582
Mg 2.009 -0.858 7.433
Mg 4.051 5.809 4.857
Al 4.413 -1.882 6.055
Mg 2.798 -0.129 4.448
Al 0.556 3.153 0.006
Mg 2.763 3.962 2.090
Mg 5.802 0.548 5.089
Mg -1.491 5.634 5.089
Mg 5.784 4.204 2.961
Mg 4.578 1.396 2.341
Mg -1.499 1.589 7.433
Mg -0.273 4.779 2.341
Mg 1.344 1.927 6.084
Al 0.592 -1.560 2.746
Al -1.669 0.016 2.746
Al 4.357 6.248 1.415
Mg -1.999 5.605 0.013
Mg -0.270 -0.387 5.314
```

---

[3]
A plane-wave DFT calculation with GGA-PBEsol was carried out for a relaxed structure of Co2IrCl.

Values from the calculation:
density: 9.217 g/cm3
density of states at the Fermi level: 1.4128 states/eV per atom
E: -6.37 eV/atom
energy above the lowest structure with this stoichiometry: 0 meV per atom
formation energy (no corrections): 0.458 eV/atom

```
4
Lattice="-2.490 -0.731 0.599 -1.994 -0.990 -3.585 0.514 -5.903 0.832" Properties=species:S:1:pos:R:3 pbc="T T T"
Cl -3.239 -1.356 -3.286
Co -3.872 -3.512 -2.637
Co -0.099 -4.112 0.483
Ir -1.985 -3.812 -1.077
```

---

[4]
A plane-wave DFT calculation with GGA-PBEsol was carried out for a relaxed structure of Li3MnV3O8.

Values from the calculation:
density: 4.448 g/cm3
density of states at the Fermi level: 0.5457 states/eV per atom
E: -7.94 eV/atom
energy above the lowest structure with this stoichiometry: 0 meV per atom
formation energy (no corrections): -2.165 eV/atom

```
15
Lattice="-1.932 -3.480 -4.207 -1.779 -3.719 3.894 -1.788 5.378 0.191" Properties=species:S:1:pos:R:3 pbc="T T T"
V -1.860 0.949 -2.008
O -0.997 -1.826 0.018
O -1.871 0.875 -0.019
Mn -0.890 -1.860 1.947
Li -1.784 0.829 2.042
O -1.820 -3.548 1.821
O -3.629 -2.697 -0.104
V -2.750 -0.911 -0.062
O -4.503 0.005 -0.142
O -2.647 -1.058 1.909
V -1.856 -3.600 -0.157
Li 0.000 0.000 0.000
O -3.679 1.726 -1.944
O -2.853 -0.763 -2.033
Li -0.894 2.689 0.095
```

---

[5]
A plane-wave DFT calculation with GGA-PBEsol was carried out for a relaxed structure of MgP2Pb.

Values from the calculation:
density: 5.817 g/cm3
density of states at the Fermi level: 0.4115 states/eV per atom
DFT formation energy: 0 meV per atom
E: -4.32 eV/atom

```
4
Lattice="3.330 0.000 0.000 1.665 2.884 0.000 1.665 0.961 8.724" Properties=species:S:1:pos:R:3 pbc="T T T"
P 1.665 0.961 8.427
Pb 3.330 1.923 4.389
Mg 1.665 0.961 1.826
P 4.995 2.884 7.167
```

---

[6]
A plane-wave DFT calculation with GGA-PBEsol was carried out for a relaxed structure of Sr3LiRh.

Values from the calculation:
density: 3.207 g/cm3
density of states at the Fermi level: 0.8544 states/eV per atom
DFT formation energy: -54 meV per atom
E: -3.18 eV/atom
energy above the lowest structure with this stoichiometry: 39 meV per atom

```
5
Lattice="-1.668 1.166 -5.409 -1.566 -5.518 -0.707 -5.307 1.262 1.909" Properties=species:S:1:pos:R:3 pbc="T T T"
Rh 0.000 0.000 0.000
Li -4.271 -1.545 -2.103
Sr -2.653 0.631 0.954
Sr -0.834 0.583 -2.704
Sr -0.783 -2.759 -0.353
```

---

[7]
A plane-wave DFT calculation with GGA-PBEsol was carried out for a relaxed structure of Rb2Mo2O7.

Values from the calculation:
density: 4.055 g/cm3
density of states at the Fermi level: 0.0000 states/eV per atom
E: -7.75 eV/atom
formation energy (no corrections): -2.083 eV/atom

```
44
Lattice="8.207 -0.007 0.000 -1.824 8.001 0.000 0.000 0.000 11.847" Properties=species:S:1:pos:R:3 pbc="T T T"
O 4.401 6.040 1.460
O 4.401 6.040 4.464
Rb 5.543 1.811 2.962
O 2.430 5.981 6.287
O -0.467 5.443 5.421
Mo 5.379 6.003 2.962
O -0.631 3.467 10.374
O 2.743 3.821 1.324
O -0.631 3.467 7.396
Mo 2.156 7.814 6.094
Mo 7.143 3.832 0.170
O 3.521 0.152 4.451
Rb 5.325 2.289 8.885
O 5.294 3.694 0.363
O 6.360 4.567 2.962
O 5.294 3.694 5.560
O 3.119 3.521 10.523
Mo 7.143 3.832 5.753
O 4.916 5.629 7.383
O 2.638 0.262 7.110
O 4.916 5.629 10.387
Rb 1.357 2.033 8.885
O -0.329 2.631 1.187
O 3.119 3.521 7.248
Mo 4.663 6.574 8.885
O 3.046 7.214 8.885
O -0.467 5.443 0.502
O 5.412 0.749 11.345
Mo 3.594 4.501 5.924
O 2.638 0.262 10.660
Mo 3.594 4.501 0.000
O -0.329 2.631 4.737
O 2.743 3.821 4.599
Rb 1.053 5.700 2.962
O 2.430 5.981 11.484
Mo 2.156 7.814 11.677
O 5.834 7.881 8.885
O 5.412 0.749 6.426
Rb 1.682 1.774 2.962
O 3.521 0.152 1.473
Rb 6.336 7.936 5.924
O 6.394 7.435 2.962
Rb 0.538 5.806 8.885
Rb 6.336 7.936 0.000
```

---

[8]
A plane-wave DFT calculation with GGA-PBEsol was carried out for a relaxed structure of ScCu2Os.

Values from the calculation:
density: 10.765 g/cm3
density of states at the Fermi level: 0.6815 states/eV per atom
DFT formation energy: 33 meV per atom
E: -6.84 eV/atom
energy above the lowest structure with this stoichiometry: 0 meV per atom

```
4
Lattice="3.454 0.000 0.000 0.000 4.034 0.000 -1.727 -2.017 4.011" Properties=species:S:1:pos:R:3 pbc="T T T"
Os 0.000 0.000 3.970
Cu 0.000 0.000 0.075
Cu 1.727 0.000 1.951
Sc 0.000 2.017 2.026
```

---

[9]
A plane-wave DFT calculation with GGA-PBEsol was carried out for a relaxed structure of B2PbF.

Values from the calculation:
density: 7.972 g/cm3
density of states at the Fermi level: 0.4051 states/eV per atom
E: -3.82 eV/atom
formation energy (no corrections): 1.167 eV/atom

```
4
Lattice="-1.524 3.866 0.447 -3.067 1.340 -2.503 -3.848 0.566 1.529" Properties=species:S:1:pos:R:3 pbc="T T T"
B -2.110 1.443 -0.132
Pb -4.219 2.886 -0.263
F 0.000 0.000 0.000
B -6.329 4.329 -0.395
```

---

[10]
A plane-wave DFT calculation with GGA-PBEsol was carried out for a relaxed structure of TaF5.

Values from the calculation:
density: 4.824 g/cm3
density of states at the Fermi level: 0.0000 states/eV per atom
E: -6.84 eV/atom
energy above the lowest structure with this stoichiometry: 62 meV per atom
formation energy (no corrections): -3.144 eV/atom

```
24
Lattice="5.278 0.138 0.000 -2.393 7.364 0.000 0.000 0.000 9.692" Properties=species:S:1:pos:R:3 pbc="T T T"
F 2.846 6.206 5.632
F 4.208 3.019 7.952
Ta 2.089 6.509 7.316
F 1.367 0.060 0.861
Ta 0.646 2.758 7.222
F 2.894 6.658 2.762
F -1.740 5.641 8.240
F 1.434 4.594 7.608
F 0.039 1.295 4.060
F -1.323 4.483 1.740
F 2.810 3.811 3.985
Ta 2.239 4.744 2.470
F -0.009 0.843 6.930
F 4.625 1.861 1.452
Ta 0.796 0.993 2.376
F 0.372 6.632 6.586
F 1.482 5.046 0.786
F 1.403 2.455 8.907
F 2.096 2.027 6.298
F 2.513 0.870 3.106
F 0.790 5.474 3.394
F 0.075 3.691 5.707
F 1.452 2.907 2.084
F 1.518 7.441 8.831
```

---

[11]
A plane-wave DFT calculation with GGA-PBEsol was carried out for a relaxed structure of LiHO.

Values from the calculation:
density: 1.543 g/cm3
density of states at the Fermi level: 0.0000 states/eV per atom
E: -5.06 eV/atom

```
6
Lattice="3.508 0.000 0.000 0.000 3.508 0.000 0.000 0.000 4.188" Properties=species:S:1:pos:R:3 pbc="T T T"
H 0.000 1.754 1.819
Li 0.000 0.000 0.000
H 1.754 0.000 2.369
O 1.754 0.000 3.343
O 0.000 1.754 0.846
Li 1.754 1.754 0.000
```

---

[12]
A plane-wave DFT calculation with GGA-PBEsol was carried out for a relaxed structure of La3NiPd.

Values from the calculation:
density: 6.710 g/cm3
density of states at the Fermi level: 1.3368 states/eV per atom
DFT formation energy: 25 meV per atom
E: -5.61 eV/atom

```
5
Lattice="5.241 0.000 0.000 0.000 5.241 0.000 0.000 0.000 5.241" Properties=species:S:1:pos:R:3 pbc="T T T"
La 0.000 2.621 0.000
Ni 0.000 0.000 0.000
La 2.621 0.000 0.000
Pd 2.621 2.621 2.621
La 0.000 0.000 2.621
```

---

Q: Among the records above, which one has the lowest density?
A: LiHO

---

Q: Which value of E does entry 4 give?
A: -7.94 eV/atom

---

Q: density of states at the Fermi level of number 11 (LiHO)?
A: 0.0000 states/eV per atom

---

Q: Number 11 is which compound?
A: LiHO